[1]
Crystalline ErThCoNi at its relaxed geometry. Source: Alexandria via LeMat-Bulk, functional PBE-GGA.

The structure belongs to space group Amm2 (No. 38); the cell edges are 4.379, 3.674 and 9.958 Å and the angles 90.00°, 90.00° and 90.00°. Symmetry generates all atoms from Er at (0.000, 0.000, 0.000), Th at (0.500, 0.000, 0.277), Co at (0.500, 0.000, 0.556) and Ni at (0.000, 0.000, 0.714).


[2]
Crystalline MnBe2Fe at its relaxed geometry. Source: Alexandria via LeMat-Bulk, functional PBE-GGA.

The structure belongs to space group Pmmm (No. 47); the cell edges are 2.665, 2.760 and 5.200 Å and the angles 90.00°, 90.00° and 90.00°. Symmetry generates all atoms from Mn at (0.000, 0.000, 0.000), Be at (0.500, 0.500, 0.264) and Fe at (0.000, 0.000, 0.500).


| no. | mass density (g cm⁻³) | DFT total energy (eV/atom) |
| --- | --- | --- |
| 1 | 10.71 | -6.5860 |
| 2 | 5.59 | -6.4108 |